(1)
Computed, not measured: an optimized crystal structure of HoZn3Pt2 at the GGA-PBE level of DFT.

Properties
The calculation puts the formation energy at -0.66 eV per atom. The density of states at the Fermi level comes out at 8.059 states/eV per cell.

Cell: 3.799 8.719 13.131 Å, 90.00 90.00 90.00°
Space group Immm (No. 71)
Inequivalent atoms, fractional coordinates:
Ho1 0.000 0.000 0.137 [4 per cell]
Zn1 0.000 0.209 0.325 [8 per cell]
Zn2 0.000 0.357 0.000 [4 per cell]
Pt1 0.000 0.341 0.500 [4 per cell]
Pt2 0.000 0.500 0.189 [4 per cell]

***

(2)
Computed, not measured: an optimized crystal structure of Ho3Zn2Pt6 at the GGA-PBE level of DFT.

Properties
The calculation puts the formation energy at -0.97 eV per atom. The density of states at the Fermi level comes out at 16.448 states/eV per cell.

Cell: 9.516 9.516 9.516 Å, 90.00 90.00 90.00°
Space group Im-3m (No. 229)
Inequivalent atoms, fractional coordinates:
Ho1 0.000 0.000 0.305 [12 per cell]
Zn1 0.250 0.250 0.250 [8 per cell]
Pt1 0.000 0.328 0.328 [24 per cell]

***

(3)
Computed, not measured: an optimized crystal structure of Ho7Zn2Pt2 at the GGA-PBE level of DFT.

Properties
The calculation puts the formation energy at -0.46 eV per atom. The density of states at the Fermi level comes out at 21.697 states/eV per cell.

Cell: 7.868 10.764 7.056 Å, 90.00 90.00 90.00°
Space group Cmmm (No. 65)
Inequivalent atoms, fractional coordinates:
Ho1 0.000 0.000 0.000 [2 per cell]
Ho2 0.000 0.500 0.257 [4 per cell]
Ho3 0.250 0.250 0.263 [8 per cell]
Zn1 0.169 0.000 0.500 [4 per cell]
Pt1 0.000 0.288 0.000 [4 per cell]

***

(4)
Computed, not measured: an optimized crystal structure of Ho3ZnPt4 at the GGA-PBE level of DFT.

Properties
The calculation puts the formation energy at -1.02 eV per atom. The density of states at the Fermi level comes out at 5.918 states/eV per cell.

Cell: 4.031 5.780 15.341 Å, 90.00 90.00 90.00°
Space group Immm (No. 71)
Inequivalent atoms, fractional coordinates:
Ho1 0.000 0.000 0.000 [2 per cell]
Ho2 0.000 0.500 0.202 [4 per cell]
Zn1 0.000 0.000 0.500 [2 per cell]
Pt1 0.000 0.275 0.376 [8 per cell]

***

| no. | total moment (μB/atom) |
| --- | --- |
| 1 | 0.000 |
| 2 | 0.000 |
| 3 | 0.000 |
| 4 | 0.000 |